# Sc2TlB

Sc2TlB after structural relaxation (PBE, Alexandria via LeMat-Bulk).

abc: 4.7320 4.7320 4.7320
angles: 60.00 60.00 60.00
Last column: nearest neighbours and their distance in Å.
Fractional positions:
Sc  0.2500  0.2500  0.2500  4 B 2.90, 4 Tl 2.90
Sc  0.7500  0.7500  0.7500  4 B 2.90, 4 Tl 2.90
Tl  0.0000  0.0000  0.0000  8 Sc 2.90
B  0.5000  0.5000  0.5000  8 Sc 2.90

Values from the calculation:
* excess energy over the best structure of this formula in the dataset: 300 meV per atom
* calculated formation energy: 0.235 eV per atom
* electronic total energy: -0.1908 Ha/atom
* V: 18.731 Å³/atom